! PaMnBi2O6 | the Alexandria database | PBE+U | optimized geometry; values from VASP
! - SG: No. 1
! - E_tot: -7.13 eV/atom
&SYSTEM
  ibrav = 0, nat = 10, ntyp = 4
/
ATOMIC_SPECIES
O 16.00 O.upf
Pa 231.04 Pa.upf
Bi 208.98 Bi.upf
Mn 54.94 Mn.upf
ATOMIC_POSITIONS crystal
O 0.498 0.863 0.756
O 0.840 0.678 0.637
Pa 0.995 0.996 0.983
Bi 0.463 0.687 0.194
Mn 0.001 0.502 0.481
O 0.498 0.145 0.285
O 0.847 0.672 0.159
O 0.139 0.336 0.295
Bi 0.536 0.280 0.709
O 0.148 0.319 0.802
CELL_PARAMETERS angstrom
5.829 -0.078 -0.023
-2.984 5.335 0.062
-2.908 -1.680 4.742